Record 1
DFT (PBE-GGA) results for a relaxed CuRh3 crystal.

```
CuRh3
1.0
1.361 0.786 8.635
-1.361 0.786 8.635
0.000 -1.571 8.635
Cu Rh
1 3
Direct
0.000 0.000 0.000
0.251 0.251 0.251
0.500 0.500 0.500
0.749 0.749 0.749
```

Values from the calculation:
**Fermi-level density of states**: 6.01 states/eV/f.u.
**Spin magnetization**: 0.00 μB per atom
**Calculated volume**: 55 Å³/f.u.

---

Record 2
DFT (PBE-GGA) results for a relaxed PmHoBe2 crystal.

```
PmHoBe2
1.0
4.867 0.000 0.000
0.000 4.867 0.000
0.000 0.000 3.444
Pm Ho Be
1 1 2
Direct
0.000 0.000 0.000
0.500 0.500 0.000
0.000 0.500 0.500
0.500 0.000 0.500
```

Values from the calculation:
**Fermi-level density of states**: 3.01 states/eV/f.u.
**Relative energy among the computed polymorphs**: 0.00 eV per formula unit
**Spin magnetization**: 0.00 μB per atom
**Calculated volume**: 82 Å³/f.u.

---

Record 3
DFT (PBE-GGA) results for a relaxed Ho12ErTm3 crystal.

```
Ho12ErTm3
1.0
4.961 0.000 0.000
0.000 4.961 0.000
0.000 0.000 19.835
Ho Er Tm
12 1 3
Direct
0.000 0.000 0.000
0.000 0.000 0.250
0.000 0.000 0.500
0.000 0.000 0.750
0.000 0.500 0.125
0.000 0.500 0.375
0.000 0.500 0.625
0.000 0.500 0.875
0.500 0.000 0.125
0.500 0.000 0.375
0.500 0.000 0.625
0.500 0.000 0.875
0.500 0.500 0.000
0.500 0.500 0.250
0.500 0.500 0.500
0.500 0.500 0.750
```

Values from the calculation:
**Fermi-level density of states**: 20.64 states/eV/f.u.
**Spin magnetization**: 0.00 μB per atom
**Calculated volume**: 488 Å³/f.u.

---

| no. | ΔH_f (0 K) (meV per atom) |
| --- | --- |
| 1 | 64 |
| 2 | 141 |
| 3 | 22 |